First-principles (GGA+U) data for crystalline Mn3Cr3Sb2O16 at its relaxed geometry, as listed in Alexandria.

Properties
ρ: 4.87 Mg/m³
Total magnetic moment: 17.000 Bohr magnetons per cell
Total DFT energy (no corrections): -167.762 eV per cell

Lattice parameters (Å, degrees): 5.905 5.896 9.247 89.96 88.93 119.66
Each line ends with the local moment (μB).
Positions (direct):
Mn 0.658 0.832 0.209  3.27
Mn 0.833 0.664 0.713  3.29
Mn 0.833 0.168 0.712  3.29
Cr 0.159 0.824 0.220  2.32
Cr 0.168 0.339 0.209  2.95
Cr 0.339 0.169 0.713  2.95
Sb 0.335 0.666 0.493  0.03
Sb 0.663 0.329 0.992  0.03
O 0.164 0.833 0.600  -0.02
O 0.042 0.528 0.342  -0.10
O 0.339 0.683 0.107  -0.12
O 0.990 0.989 0.303  -0.16
O 0.989 0.994 0.809  -0.10
O 0.164 0.328 0.598  -0.01
O 0.481 0.962 0.338  -0.12
O 0.484 0.528 0.336  -0.11
O 0.327 0.158 0.098  -0.02
O 0.671 0.835 0.601  -0.04
O 0.528 0.487 0.839  -0.11
O 0.529 0.040 0.838  -0.11
O 0.682 0.341 0.609  -0.12
O 0.829 0.662 0.102  -0.02
O 0.963 0.479 0.834  -0.17
O 0.832 0.163 0.099  -0.02